# LuInB PBE relaxed
data_LuInB
_chemical_formula_sum 'Lu4 In4 B4'
_cell_length_a 6.018
_cell_length_b 6.018
_cell_length_c 6.018
_cell_angle_alpha 90.00
_cell_angle_beta 90.00
_cell_angle_gamma 90.00
_space_group_name_H-M_alt 'F -4 3 m'
_space_group_IT_number 216
_space_group_name_Hall 'F -4 2 3'
loop_
_atom_site_label
_atom_site_fract_x
_atom_site_fract_y
_atom_site_fract_z
_atom_site_occupancy
Lu1 0.000 0.000 0.000 1
In1 0.000 0.000 0.500 1
B1 0.250 0.250 0.750 1
# M_tot = 0.002 μB/f.u.
# Electronic total energy = -4.613 eV/atom